Run 1
# Zr2CuNi9 | Alexandria | PBE-GGA | optimized geometry
data_Zr2CuNi9
_chemical_formula_sum 'Zr6 Cu3 Ni27'
_space_group_name_H-M_alt 'R -3 m'
_space_group_IT_number 166
_space_group_name_Hall '-R 3 2"'
_cell_length_a 4.8149
_cell_length_b 4.8149
_cell_length_c 23.5138
_cell_angle_alpha 90.00
_cell_angle_beta 90.00
_cell_angle_gamma 120.00
loop_
_atom_site_label
_atom_site_type_symbol
_atom_site_fract_x
_atom_site_fract_y
_atom_site_fract_z
Zr1 Zr 0.0000 0.0000 0.1344
Cu1 Cu 0.0000 0.0000 0.0000
Ni1 Ni 0.0000 0.0000 0.3336
Ni2 Ni 0.0000 0.0000 0.5000
Ni3 Ni 0.0040 0.5020 0.9164
# Magnetization   1.51 μB/f.u.

***

Run 2
# Zr2CuNi9 | Alexandria | PBE-GGA | optimized geometry
data_Zr2CuNi9
_chemical_formula_sum 'Zr2 Cu1 Ni9'
_space_group_name_H-M_alt 'P 4/m m m'
_space_group_IT_number 123
_space_group_name_Hall '-P 4 2'
_cell_length_a 3.7201
_cell_length_b 3.7201
_cell_length_c 10.8848
_cell_angle_alpha 90.00
_cell_angle_beta 90.00
_cell_angle_gamma 90.00
loop_
_atom_site_label
_atom_site_type_symbol
_atom_site_fract_x
_atom_site_fract_y
_atom_site_fract_z
Zr1 Zr 0.0000 0.0000 0.1763
Cu1 Cu 0.0000 0.0000 0.5000
Ni1 Ni 0.0000 0.5000 0.0000
Ni2 Ni 0.0000 0.5000 0.3468
Ni3 Ni 0.5000 0.5000 0.1713
Ni4 Ni 0.5000 0.5000 0.5000
# Magnetization   1.34 μB/f.u.

***

Of them, run 1 has the lowest stability.

***

Run 1
# ZrCuNi3 | Alexandria | PBE-GGA | optimized geometry
data_ZrCuNi3
_chemical_formula_sum 'Zr1 Cu1 Ni3'
_space_group_name_H-M_alt 'P m -3 m'
_space_group_IT_number 221
_space_group_name_Hall '-P 4 2 3'
_cell_length_a 4.5559
_cell_length_b 4.5559
_cell_length_c 4.5559
_cell_angle_alpha 90.00
_cell_angle_beta 90.00
_cell_angle_gamma 90.00
loop_
_atom_site_label
_atom_site_type_symbol
_atom_site_fract_x
_atom_site_fract_y
_atom_site_fract_z
Zr1 Zr 0.0000 0.0000 0.0000
Cu1 Cu 0.5000 0.5000 0.5000
Ni1 Ni 0.0000 0.0000 0.5000
# Magnetization   0.00 μB/f.u.

***

Run 2
# ZrCuNi3 | Alexandria | PBE-GGA | optimized geometry
data_ZrCuNi3
_chemical_formula_sum 'Zr1 Cu1 Ni3'
_space_group_name_H-M_alt 'P m -3 m'
_space_group_IT_number 221
_space_group_name_Hall '-P 4 2 3'
_cell_length_a 4.2724
_cell_length_b 4.2724
_cell_length_c 4.2724
_cell_angle_alpha 90.00
_cell_angle_beta 90.00
_cell_angle_gamma 90.00
loop_
_atom_site_label
_atom_site_type_symbol
_atom_site_fract_x
_atom_site_fract_y
_atom_site_fract_z
Zr1 Zr 0.0000 0.0000 0.0000
Cu1 Cu 0.5000 0.5000 0.5000
Ni1 Ni 0.0000 0.5000 0.5000
# Magnetization   0.00 μB/f.u.

***

Run 3
# ZrCuNi3 | Alexandria | PBE-GGA | optimized geometry
data_ZrCuNi3
_chemical_formula_sum 'Zr2 Cu2 Ni6'
_space_group_name_H-M_alt 'P 63/m m c'
_space_group_IT_number 194
_space_group_name_Hall '-P 6c 2c'
_cell_length_a 5.8171
_cell_length_b 5.8171
_cell_length_c 4.7849
_cell_angle_alpha 90.00
_cell_angle_beta 90.00
_cell_angle_gamma 120.00
loop_
_atom_site_label
_atom_site_type_symbol
_atom_site_fract_x
_atom_site_fract_y
_atom_site_fract_z
Zr1 Zr 0.3333 0.6667 0.2500
Cu1 Cu 0.0000 0.0000 0.0000
Ni1 Ni 0.2001 0.4002 0.7500
# Magnetization   0.00 μB/f.u.

***

Of them, run 1 has the lowest stability.

***

Run 1
# Zr2CuNi4 | Alexandria | PBE-GGA | optimized geometry
data_Zr2CuNi4
_chemical_formula_sum 'Zr4 Cu2 Ni8'
_space_group_name_H-M_alt 'C 1 m 1'
_space_group_IT_number 8
_space_group_name_Hall 'C -2y'
_cell_length_a 6.4220
_cell_length_b 8.0367
_cell_length_c 5.1889
_cell_angle_alpha 90.00
_cell_angle_beta 128.18
_cell_angle_gamma 90.00
loop_
_atom_site_label
_atom_site_type_symbol
_atom_site_fract_x
_atom_site_fract_y
_atom_site_fract_z
Zr1 Zr 0.0000 0.2054 0.0000
Cu1 Cu 0.3043 0.0000 0.6079
Ni1 Ni 0.0088 0.2503 0.5168
Ni2 Ni 0.2899 0.5000 0.1901
Ni3 Ni 0.3985 0.0000 0.1874
# Magnetization   0.00 μB/f.u.

***

Run 2
# Zr2CuNi4 | Alexandria | PBE-GGA | optimized geometry
data_Zr2CuNi4
_chemical_formula_sum 'Zr4 Cu2 Ni8'
_space_group_name_H-M_alt 'C 1 2/m 1'
_space_group_IT_number 12
_space_group_name_Hall '-C 2y'
_cell_length_a 8.0010
_cell_length_b 4.7035
_cell_length_c 6.0452
_cell_angle_alpha 90.00
_cell_angle_beta 100.90
_cell_angle_gamma 90.00
loop_
_atom_site_label
_atom_site_type_symbol
_atom_site_fract_x
_atom_site_fract_y
_atom_site_fract_z
Zr1 Zr 0.0473 0.0000 0.2624
Cu1 Cu 0.0000 0.5000 0.0000
Ni1 Ni 0.2281 0.5000 0.3617
Ni2 Ni 0.2500 0.2500 0.0000
# Magnetization   0.00 μB/f.u.

***

Of them, run 2 has the lowest stability.

***

Run 1
# NpCuO4 | Alexandria | PBE-GGA | optimized geometry
data_NpCuO4
_chemical_formula_sum 'Np2 Cu2 O8'
_space_group_name_H-M_alt 'P 1 21/c 1'
_space_group_IT_number 14
_space_group_name_Hall '-P 2ybc'
_cell_length_a 5.5104
_cell_length_b 5.0185
_cell_length_c 6.1989
_cell_angle_alpha 90.00
_cell_angle_beta 112.21
_cell_angle_gamma 90.00
loop_
_atom_site_label
_atom_site_type_symbol
_atom_site_fract_x
_atom_site_fract_y
_atom_site_fract_z
Np1 Np 0.0000 0.0000 0.0000
Cu1 Cu 0.5000 0.0000 0.5000
O1 O 0.1662 0.1840 0.3338
O2 O 0.3097 0.7053 0.5773
# Magnetization   1.45 μB/f.u.

***

Run 2
# NpCuO4 | Alexandria | PBE-GGA | optimized geometry
data_NpCuO4
_chemical_formula_sum 'Np2 Cu2 O8'
_space_group_name_H-M_alt 'I -4'
_space_group_IT_number 82
_space_group_name_Hall 'I -4'
_cell_length_a 6.0025
_cell_length_b 6.0025
_cell_length_c 5.6449
_cell_angle_alpha 90.00
_cell_angle_beta 90.00
_cell_angle_gamma 90.00
loop_
_atom_site_label
_atom_site_type_symbol
_atom_site_fract_x
_atom_site_fract_y
_atom_site_fract_z
Np1 Np 0.0000 0.0000 0.0000
Cu1 Cu 0.0000 0.5000 0.2500
O1 O 0.1439 0.7193 0.0417
# Magnetization   0.00 μB/f.u.

***

Of them, run 2 has the lowest stability.

***

Run 1
# NpCu2Pd8 | Alexandria | PBE-GGA | optimized geometry
data_NpCu2Pd8
_chemical_formula_sum 'Np2 Cu4 Pd16'
_space_group_name_H-M_alt 'C 1 2/m 1'
_space_group_IT_number 12
_space_group_name_Hall '-C 2y'
_cell_length_a 13.9908
_cell_length_b 4.1165
_cell_length_c 6.2717
_cell_angle_alpha 90.00
_cell_angle_beta 106.66
_cell_angle_gamma 90.00
loop_
_atom_site_label
_atom_site_type_symbol
_atom_site_fract_x
_atom_site_fract_y
_atom_site_fract_z
Np1 Np 0.0000 0.0000 0.0000
Cu1 Cu 0.2269 0.5000 0.6406
Pd1 Pd 0.0473 0.5000 0.7281
Pd2 Pd 0.0984 0.0000 0.4637
Pd3 Pd 0.1440 0.5000 0.2036
Pd4 Pd 0.1824 0.0000 0.9234
# Magnetization   2.55 μB/f.u.

***

Run 2
# NpCu2Pd8 | Alexandria | PBE-GGA | optimized geometry
data_NpCu2Pd8
_chemical_formula_sum 'Np2 Cu4 Pd16'
_space_group_name_H-M_alt 'C 1 2/m 1'
_space_group_IT_number 12
_space_group_name_Hall '-C 2y'
_cell_length_a 13.5464
_cell_length_b 5.3642
_cell_length_c 4.9067
_cell_angle_alpha 90.00
_cell_angle_beta 91.61
_cell_angle_gamma 90.00
loop_
_atom_site_label
_atom_site_type_symbol
_atom_site_fract_x
_atom_site_fract_y
_atom_site_fract_z
Np1 Np 0.0000 0.0000 0.0000
Cu1 Cu 0.2445 0.5000 0.6154
Pd1 Pd 0.0915 0.5000 0.8966
Pd2 Pd 0.0948 0.2511 0.4008
Pd3 Pd 0.2018 0.0000 0.8805
# Magnetization   2.44 μB/f.u.

***

Of them, run 2 has the lowest stability.

***

Run 1
# NpCuPd2 | Alexandria | PBE-GGA | optimized geometry
data_NpCuPd2
_chemical_formula_sum 'Np1 Cu1 Pd2'
_space_group_name_H-M_alt 'P 4/m m m'
_space_group_IT_number 123
_space_group_name_Hall '-P 4 2'
_cell_length_a 3.1978
_cell_length_b 3.1978
_cell_length_c 6.7122
_cell_angle_alpha 90.00
_cell_angle_beta 90.00
_cell_angle_gamma 90.00
loop_
_atom_site_label
_atom_site_type_symbol
_atom_site_fract_x
_atom_site_fract_y
_atom_site_fract_z
Np1 Np 0.0000 0.0000 0.0000
Cu1 Cu 0.0000 0.0000 0.5000
Pd1 Pd 0.5000 0.5000 0.2896
# Magnetization   3.84 μB/f.u.

***

Run 2
# NpCuPd2 | Alexandria | PBE-GGA | optimized geometry
data_NpCuPd2
_chemical_formula_sum 'Np3 Cu3 Pd6'
_space_group_name_H-M_alt 'R -3 m'
_space_group_IT_number 166
_space_group_name_Hall '-R 3 2"'
_cell_length_a 4.3553
_cell_length_b 4.3553
_cell_length_c 13.4618
_cell_angle_alpha 90.00
_cell_angle_beta 90.00
_cell_angle_gamma 120.00
loop_
_atom_site_label
_atom_site_type_symbol
_atom_site_fract_x
_atom_site_fract_y
_atom_site_fract_z
Np1 Np 0.0000 0.0000 0.0000
Cu1 Cu 0.0000 0.0000 0.5000
Pd1 Pd 0.0000 0.0000 0.2229
# Magnetization   3.98 μB/f.u.

***

Of them, run 1 has the lowest stability.